This record from Alexandria describes AgHg2P after structural relaxation. The functional is PBE-GGA.

a b c (Å): 6.820 6.820 6.820
angles (deg): 34.52 34.52 34.52
Element x y z (fractional)
1 Ag 0.000 0.000 0.000
2 Hg 0.533 0.533 0.533
3 Hg 0.763 0.763 0.763
4 P 0.279 0.279 0.279

Output
Energy in eV for the cell shown: -7.8
Calculated formation energy in eV per atom: 0.270
Space group: R3m, No. 160

This record from Alexandria describes CaReO3 after structural relaxation. The functional is PBE-GGA.

a b c (Å): 6.508 6.508 6.508
angles (deg): 123.35 76.64 132.95
Element x y z (fractional)
1 Ca 0.178 0.000 0.178
2 Ca 0.822 0.000 0.822
3 Re 0.490 0.178 0.688
4 Re 0.490 0.802 0.312
5 O 0.153 0.380 0.227
6 O 0.153 0.926 0.773
7 O 0.493 0.397 0.591
8 O 0.493 0.902 0.096
9 O 0.806 0.397 0.904
10 O 0.806 0.902 0.409

Output
Energy in eV for the cell shown: -79.5
Space group: Imm2, No. 44
Energy relative to the elements, uncorrected in eV per atom: -2.09

This record from Alexandria describes NaCaHg2 after structural relaxation. The functional is PBE-GGA.

a b c (Å): 8.622 8.622 8.622
angles (deg): 27.42 27.42 27.42
Element x y z (fractional)
1 Na 0.000 0.000 0.000
2 Ca 0.500 0.500 0.500
3 Hg 0.251 0.251 0.251
4 Hg 0.749 0.749 0.749

Output
Energy in eV for the cell shown: -5.0
Calculated formation energy in eV per atom: -0.275
Space group: R-3m, No. 166

This record from Alexandria describes PmPa2Ge3 after structural relaxation. The functional is PBE-GGA.

a b c (Å): 5.903 12.515 8.356
angles (deg): 90.00 90.00 90.00
Element x y z (fractional)
1 Pm 0.250 0.081 0.125
2 Pm 0.250 0.419 0.625
3 Pm 0.750 0.581 0.375
4 Pm 0.750 0.919 0.875
5 Pa 0.250 0.084 0.625
6 Pa 0.250 0.416 0.125
7 Pa 0.251 0.747 0.625
8 Pa 0.251 0.753 0.125
9 Pa 0.749 0.247 0.875
10 Pa 0.749 0.253 0.375
11 Pa 0.750 0.584 0.875
12 Pa 0.750 0.916 0.375
13 Ge 0.249 0.249 0.875
14 Ge 0.249 0.251 0.375
15 Ge 0.250 0.587 0.365
16 Ge 0.250 0.587 0.882
17 Ge 0.250 0.913 0.382
18 Ge 0.250 0.913 0.865
19 Ge 0.750 0.087 0.135
20 Ge 0.750 0.087 0.618
21 Ge 0.750 0.413 0.118
22 Ge 0.750 0.413 0.635
23 Ge 0.751 0.749 0.625
24 Ge 0.751 0.751 0.125

Output
Energy in eV for the cell shown: -163.6
Calculated formation energy in eV per atom: -0.550
Space group: P2_1/c, No. 14

This record from Alexandria describes HoZn4Tc after structural relaxation. The functional is PBE-GGA.

a b c (Å): 5.134 5.134 5.134
angles (deg): 60.00 60.00 60.00
Element x y z (fractional)
1 Ho 0.000 0.000 0.000
2 Zn 0.376 0.376 0.376
3 Zn 0.376 0.376 0.871
4 Zn 0.376 0.871 0.376
5 Zn 0.871 0.376 0.376
6 Tc 0.750 0.750 0.750

Output
Energy in eV for the cell shown: -21.0
Calculated formation energy in eV per atom: -0.166
Space group: F-43m, No. 216

This record from Alexandria describes ErAlPdAu after structural relaxation. The functional is PBE-GGA.

a b c (Å): 4.734 4.734 4.734
angles (deg): 60.00 60.00 60.00
Element x y z (fractional)
1 Er 0.000 0.000 0.000
2 Al 0.500 0.500 0.500
3 Pd 0.250 0.250 0.250
4 Au 0.750 0.750 0.750

Output
Energy in eV for the cell shown: -19.9
Calculated formation energy in eV per atom: -0.780
Space group: F-43m, No. 216

This record from Alexandria describes CrI3 after structural relaxation. The functional is PBE-GGA.

a b c (Å): 7.003 7.003 22.297
angles (deg): 90.00 90.00 120.00
Element x y z (fractional)
1 Cr 0.221 0.110 0.000
2 Cr 0.223 0.446 0.667
3 Cr 0.223 0.777 0.333
4 Cr 0.554 0.777 0.000
5 Cr 0.890 0.110 0.333
6 Cr 0.890 0.779 0.667
7 I 0.197 0.084 0.263
8 I 0.197 0.113 0.737
9 I 0.197 0.444 0.403
10 I 0.197 0.753 0.597
11 I 0.247 0.444 0.930
12 I 0.247 0.803 0.070
13 I 0.528 0.084 0.930
14 I 0.528 0.444 0.070
15 I 0.556 0.084 0.404
16 I 0.556 0.472 0.596
17 I 0.556 0.753 0.737
18 I 0.556 0.803 0.263
19 I 0.887 0.084 0.070
20 I 0.887 0.803 0.930
21 I 0.916 0.113 0.597
22 I 0.916 0.444 0.263
23 I 0.916 0.472 0.737
24 I 0.916 0.803 0.403

Output
Energy in eV for the cell shown: -95.6
Space group: P3_112, No. 151
Energy relative to the elements, uncorrected in eV per atom: -0.41

This record from Alexandria describes Li2CdGeH after structural relaxation. The functional is PBE-GGA.

a b c (Å): 4.164 4.164 4.166
angles (deg): 90.00 90.00 90.00
Element x y z (fractional)
1 Li 0.000 0.500 0.000
2 Li 0.500 0.000 0.000
3 Cd 0.000 0.000 0.500
4 Ge 0.500 0.500 0.500
5 H 0.500 0.500 0.000

Output
Energy in eV for the cell shown: -13.3
ΔE to the lowest computed polymorph in meV per atom: 23.7
Space group: P4/mmm, No. 123

This record from Alexandria describes TaH2F after structural relaxation. The functional is PBE-GGA.

a b c (Å): 4.662 4.662 4.662
angles (deg): 101.78 101.78 126.28
Element x y z (fractional)
1 Ta 0.000 0.000 0.000
2 Ta 0.750 0.250 0.500
3 H 0.057 0.125 0.432
4 H 0.375 0.943 0.068
5 H 0.693 0.625 0.568
6 H 0.875 0.307 0.932
7 F 0.250 0.750 0.500
8 F 0.500 0.500 0.000

Output
Energy in eV for the cell shown: -46.0
ΔE to the lowest computed polymorph in meV per atom: 0.0
Space group: I-42d, No. 122

This record from Alexandria describes HRhO2 after structural relaxation. The functional is PBE-GGA.

a b c (Å): 3.068 3.068 3.792
angles (deg): 90.00 90.00 90.00
Element x y z (fractional)
1 H 0.000 0.000 0.000
2 Rh 0.500 0.500 0.500
3 O 0.000 0.000 0.500
4 O 0.500 0.500 0.000

Output
Energy in eV for the cell shown: -20.0
Space group: P4/mmm, No. 123

This record from Alexandria describes MgIn2GeN4 after structural relaxation. The functional is PBE-GGA.

a b c (Å): 5.833 5.833 5.833
angles (deg): 130.52 130.52 72.57
Element x y z (fractional)
1 Mg 0.000 0.000 0.000
2 In 0.250 0.750 0.500
3 In 0.750 0.250 0.500
4 Ge 0.500 0.500 0.000
5 N 0.159 0.159 0.540
6 N 0.381 0.841 0.000
7 N 0.619 0.619 0.460
8 N 0.841 0.381 0.000

Output
Energy in eV for the cell shown: -46.7
Space group: I-42m, No. 121
Energy relative to the elements, uncorrected in eV per atom: -0.21

This record from Alexandria describes AcPmRuBr after structural relaxation. The functional is PBE-GGA.

a b c (Å): 8.479 8.479 8.479
angles (deg): 28.43 28.43 28.43
Element x y z (fractional)
1 Ac 0.000 0.000 0.000
2 Pm 0.204 0.204 0.204
3 Ru 0.599 0.599 0.599
4 Br 0.776 0.776 0.776

Output
Energy in eV for the cell shown: -22.8
Space group: R3m, No. 160
Energy relative to the elements, uncorrected in eV per atom: -0.76

This record from Alexandria describes TbSbRh4 after structural relaxation. The functional is PBE-GGA.

a b c (Å): 5.310 5.310 5.310
angles (deg): 60.00 60.00 60.00
Element x y z (fractional)
1 Tb 0.000 0.000 0.000
2 Sb 0.750 0.750 0.750
3 Rh 0.376 0.376 0.376
4 Rh 0.376 0.376 0.873
5 Rh 0.376 0.873 0.376
6 Rh 0.873 0.376 0.376

Output
Energy in eV for the cell shown: -40.7
ΔE to the lowest computed polymorph in meV per atom: 0.0
Space group: F-43m, No. 216
Energy relative to the elements, uncorrected in eV per atom: -0.42

This record from Alexandria describes PrPaRu2 after structural relaxation. The functional is PBE-GGA.

a b c (Å): 4.917 4.917 3.487
angles (deg): 90.00 90.00 90.00
Element x y z (fractional)
1 Pr 0.000 0.000 0.000
2 Pa 0.500 0.500 0.000
3 Ru 0.000 0.500 0.500
4 Ru 0.500 0.000 0.500

Output
Energy in eV for the cell shown: -33.6
Calculated formation energy in eV per atom: -0.186
Space group: P4/mmm, No. 123

This record from Alexandria describes Y7Er2Tm after structural relaxation. The functional is PBE-GGA.

a b c (Å): 15.116 15.116 3.503
angles (deg): 90.07 90.07 156.52
Element x y z (fractional)
1 Y 0.000 0.000 0.000
2 Y 0.154 0.354 0.235
3 Y 0.194 0.806 0.500
4 Y 0.354 0.154 0.235
5 Y 0.646 0.846 0.765
6 Y 0.806 0.194 0.500
7 Y 0.846 0.646 0.765
8 Er 0.294 0.706 0.000
9 Er 0.706 0.294 0.000
10 Tm 0.500 0.500 0.500

Output
Energy in eV for the cell shown: -57.6
Calculated formation energy in eV per atom: 0.125
ΔE to the lowest computed polymorph in meV per atom: 0.0
Space group: C2/m, No. 12

This record from Alexandria describes TaBeTl3 after structural relaxation. The functional is PBE-GGA.

a b c (Å): 5.539 5.539 5.539
angles (deg): 90.00 90.00 90.00
Element x y z (fractional)
1 Ta 0.000 0.000 0.000
2 Be 0.500 0.500 0.500
3 Tl 0.000 0.000 0.500
4 Tl 0.000 0.500 0.000
5 Tl 0.500 0.000 0.000

Output
Energy in eV for the cell shown: -16.2
Calculated formation energy in eV per atom: 1.288
ΔE to the lowest computed polymorph in meV per atom: 99.1
Space group: Pm-3m, No. 221

This record from Alexandria describes ErAl2Pt after structural relaxation. The functional is PBE-GGA.

a b c (Å): 15.759 6.940 5.513
angles (deg): 90.00 90.00 90.00
Element x y z (fractional)
1 Er 0.106 0.250 0.236
2 Er 0.144 0.750 0.471
3 Er 0.356 0.250 0.971
4 Er 0.394 0.750 0.736
5 Er 0.606 0.250 0.264
6 Er 0.644 0.750 0.029
7 Er 0.856 0.250 0.529
8 Er 0.894 0.750 0.764
9 Al 0.035 0.053 0.745
10 Al 0.035 0.447 0.745
11 Al 0.213 0.555 0.960
12 Al 0.213 0.945 0.960
13 Al 0.287 0.055 0.460
14 Al 0.287 0.445 0.460
15 Al 0.465 0.553 0.245
16 Al 0.465 0.947 0.245
17 Al 0.535 0.053 0.755
18 Al 0.535 0.447 0.755
19 Al 0.713 0.555 0.540
20 Al 0.713 0.945 0.540
21 Al 0.787 0.055 0.040
22 Al 0.787 0.445 0.040
23 Al 0.965 0.553 0.255
24 Al 0.965 0.947 0.255
25 Pt 0.072 0.750 0.990
26 Pt 0.177 0.250 0.719
27 Pt 0.323 0.750 0.219
28 Pt 0.428 0.250 0.490
29 Pt 0.572 0.750 0.510
30 Pt 0.677 0.250 0.781
31 Pt 0.823 0.750 0.281
32 Pt 0.928 0.250 0.010

Output
Energy in eV for the cell shown: -175.8
Calculated formation energy in eV per atom: -0.972
Space group: Pnma, No. 62

This record from Alexandria describes LaYP2O8 after structural relaxation. The functional is PBE-GGA.

a b c (Å): 5.290 5.290 7.268
angles (deg): 90.00 90.00 120.00
Element x y z (fractional)
1 La 0.000 0.000 0.000
2 Y 0.000 0.000 0.500
3 P 0.333 0.667 0.791
4 P 0.667 0.333 0.209
5 O 0.172 0.348 0.718
6 O 0.176 0.828 0.718
7 O 0.333 0.667 0.001
8 O 0.348 0.176 0.282
9 O 0.652 0.824 0.718
10 O 0.667 0.333 0.999
11 O 0.824 0.172 0.282
12 O 0.828 0.652 0.282

Output
Energy in eV for the cell shown: -97.1
Space group: P-3, No. 147
Energy relative to the elements, uncorrected in eV per atom: -2.94

This record from Alexandria describes KEr3Te4O12 after structural relaxation. The functional is PBE-GGA.

a b c (Å): 7.320 7.320 7.320
angles (deg): 104.01 104.01 104.01
Element x y z (fractional)
1 K 0.000 0.000 0.000
2 Er 0.000 0.574 0.426
3 Er 0.426 0.000 0.574
4 Er 0.574 0.426 0.000
5 Te 0.093 0.500 0.907
6 Te 0.500 0.500 0.500
7 Te 0.500 0.907 0.093
8 Te 0.907 0.093 0.500
9 O 0.059 0.288 0.395
10 O 0.075 0.925 0.500
11 O 0.288 0.395 0.059
12 O 0.323 0.677 0.500
13 O 0.395 0.059 0.288
14 O 0.500 0.075 0.925
15 O 0.500 0.323 0.677
16 O 0.605 0.712 0.941
17 O 0.677 0.500 0.323
18 O 0.712 0.941 0.605
19 O 0.925 0.500 0.075
20 O 0.941 0.605 0.712

Output
Energy in eV for the cell shown: -123.0
Space group: R32, No. 155
Energy relative to the elements, uncorrected in eV per atom: -1.81

This record from Alexandria describes La2AsIr after structural relaxation. The functional is PBE-GGA.

a b c (Å): 7.761 7.761 7.761
angles (deg): 32.65 32.65 32.65
Element x y z (fractional)
1 La 0.000 0.000 0.000
2 La 0.167 0.167 0.167
3 As 0.758 0.758 0.758
4 Ir 0.409 0.409 0.409

Output
Energy in eV for the cell shown: -26.6
Calculated formation energy in eV per atom: -0.806
Space group: R3m, No. 160